(1)
The following is a DFT calculation (PBEsol) of an optimized crystal structure of YZnRu2.

Geometry as CIF:
```
data_YZnRu2
_space_group_name_H-M_alt 'P 1'
_space_group_IT_number 1
_cell_length_a 5.404
_cell_length_b 5.404
_cell_length_c 5.404
_cell_angle_alpha 146.41
_cell_angle_beta 131.85
_cell_angle_gamma 59.99
loop_
_space_group_symop_operation_xyz
'x,y,z'
loop_
_atom_site_label
_atom_site_fract_x
_atom_site_fract_y
_atom_site_fract_z
Y1 0.000 0.000 0.000
Zn1 0.275 0.775 0.500
Ru1 0.510 0.510 0.000
Ru2 0.737 0.237 0.500
```

Values from the calculation:
V = 16.1 A^3/atom
E_form = -0.001 eV per atom

(2)
The following is a DFT calculation (PBEsol) of an optimized crystal structure of YZnRu.

Geometry as CIF:
```
data_YZnRu
_space_group_name_H-M_alt 'P 1'
_space_group_IT_number 1
_cell_length_a 5.244
_cell_length_b 5.244
_cell_length_c 5.244
_cell_angle_alpha 142.57
_cell_angle_beta 142.57
_cell_angle_gamma 53.97
loop_
_space_group_symop_operation_xyz
'x,y,z'
loop_
_atom_site_label
_atom_site_fract_x
_atom_site_fract_y
_atom_site_fract_z
Y1 0.000 0.000 0.000
Zn1 0.300 0.300 0.000
Ru1 0.684 0.684 0.000
```

Values from the calculation:
V = 17.6 A^3/atom
E_form = -0.217 eV per atom

(3)
The following is a DFT calculation (PBEsol) of an optimized crystal structure of YZnRu.

Geometry as CIF:
```
data_YZnRu
_space_group_name_H-M_alt 'P 1'
_space_group_IT_number 1
_cell_length_a 4.354
_cell_length_b 4.354
_cell_length_c 4.354
_cell_angle_alpha 60.00
_cell_angle_beta 60.00
_cell_angle_gamma 60.00
loop_
_space_group_symop_operation_xyz
'x,y,z'
loop_
_atom_site_label
_atom_site_fract_x
_atom_site_fract_y
_atom_site_fract_z
Y1 0.000 0.000 0.000
Zn1 0.250 0.250 0.250
Ru1 0.500 0.500 0.500
```

Values from the calculation:
V = 19.5 A^3/atom
E_form = 0.143 eV per atom

(4)
The following is a DFT calculation (PBEsol) of an optimized crystal structure of YZnRu.

Geometry as CIF:
```
data_YZnRu
_space_group_name_H-M_alt 'P 1'
_space_group_IT_number 1
_cell_length_a 4.303
_cell_length_b 4.303
_cell_length_c 3.453
_cell_angle_alpha 90.00
_cell_angle_beta 90.00
_cell_angle_gamma 120.00
loop_
_space_group_symop_operation_xyz
'x,y,z'
loop_
_atom_site_label
_atom_site_fract_x
_atom_site_fract_y
_atom_site_fract_z
Y1 0.000 0.000 0.000
Zn1 0.333 0.667 0.500
Ru1 0.667 0.333 0.500
```

Values from the calculation:
V = 18.5 A^3/atom
E_form = -0.217 eV per atom

(5)
The following is a DFT calculation (PBEsol) of an optimized crystal structure of YZrRu2.

Geometry as CIF:
```
data_YZrRu2
_space_group_name_H-M_alt 'P 1'
_space_group_IT_number 1
_cell_length_a 4.644
_cell_length_b 4.644
_cell_length_c 4.644
_cell_angle_alpha 60.00
_cell_angle_beta 60.00
_cell_angle_gamma 60.00
loop_
_space_group_symop_operation_xyz
'x,y,z'
loop_
_atom_site_label
_atom_site_fract_x
_atom_site_fract_y
_atom_site_fract_z
Y1 0.000 0.000 0.000
Zr1 0.500 0.500 0.500
Ru1 0.250 0.250 0.250
Ru2 0.750 0.750 0.750
```

Values from the calculation:
V = 17.7 A^3/atom
E_form = -0.433 eV per atom

(6)
The following is a DFT calculation (PBEsol) of an optimized crystal structure of YZrRu2.

Geometry as CIF:
```
data_YZrRu2
_space_group_name_H-M_alt 'P 1'
_space_group_IT_number 1
_cell_length_a 3.273
_cell_length_b 3.273
_cell_length_c 6.653
_cell_angle_alpha 90.00
_cell_angle_beta 90.00
_cell_angle_gamma 90.00
loop_
_space_group_symop_operation_xyz
'x,y,z'
loop_
_atom_site_label
_atom_site_fract_x
_atom_site_fract_y
_atom_site_fract_z
Y1 0.000 0.000 0.000
Zr1 0.000 0.000 0.500
Ru1 0.500 0.500 0.268
Ru2 0.500 0.500 0.732
```

Values from the calculation:
V = 17.8 A^3/atom
E_form = -0.470 eV per atom

(7)
The following is a DFT calculation (PBEsol) of an optimized crystal structure of Y4ZrRu.

Geometry as CIF:
```
data_Y4ZrRu
_space_group_name_H-M_alt 'P 1'
_space_group_IT_number 1
_cell_length_a 5.955
_cell_length_b 5.955
_cell_length_c 5.955
_cell_angle_alpha 60.00
_cell_angle_beta 60.00
_cell_angle_gamma 60.00
loop_
_space_group_symop_operation_xyz
'x,y,z'
loop_
_atom_site_label
_atom_site_fract_x
_atom_site_fract_y
_atom_site_fract_z
Y1 0.124 0.124 0.124
Y2 0.124 0.124 0.626
Y3 0.124 0.626 0.124
Y4 0.626 0.124 0.124
Zr1 0.500 0.500 0.500
Ru1 0.750 0.750 0.750
```

Values from the calculation:
V = 24.9 A^3/atom
E_form = 0.824 eV per atom

(8)
The following is a DFT calculation (PBEsol) of an optimized crystal structure of ZnRu.

Geometry as CIF:
```
data_ZnRu
_space_group_name_H-M_alt 'P 1'
_space_group_IT_number 1
_cell_length_a 4.960
_cell_length_b 4.960
_cell_length_c 4.960
_cell_angle_alpha 145.60
_cell_angle_beta 129.38
_cell_angle_gamma 62.64
loop_
_space_group_symop_operation_xyz
'x,y,z'
loop_
_atom_site_label
_atom_site_fract_x
_atom_site_fract_y
_atom_site_fract_z
Zn1 0.379 0.129 0.250
Zn2 0.621 0.871 0.750
Ru1 0.125 0.375 0.750
Ru2 0.875 0.625 0.250
```

Values from the calculation:
V = 13.2 A^3/atom
E_form = 0.102 eV per atom

| no. | total DFT energy (no corrections) (eV/atom) |
| --- | --- |
| 1 | -7.188 |
| 2 | -6.409 |
| 3 | -6.049 |
| 4 | -6.409 |
| 5 | -9.497 |
| 6 | -9.534 |
| 7 | -6.935 |
| 8 | -5.775 |